Entry 1:
# ScBeCd2 (SCAN, single point on PBEsol structure)
# - ρ (g/cm³) = 6.53
# - excess energy over the best structure of this formula in the dataset (eV per atom) = 0.0816
# - ΔH_f (0 K) (eV per atom) = 0.03
data_ScBeCd2
_cell_length_a 3.135
_cell_length_b 4.734
_cell_length_c 9.554
_cell_angle_alpha 90.00
_cell_angle_beta 90.00
_cell_angle_gamma 90.00
_space_group_name_H-M_alt 'P 1'
_space_group_IT_number 1
_space_group_name_Hall 'P 1'
loop_
_atom_site_label
_atom_site_type_symbol
_atom_site_fract_x
_atom_site_fract_y
_atom_site_fract_z
Sc1 Sc 0.000 0.000 0.000
Sc2 Sc 0.500 0.500 0.500
Be1 Be 0.000 0.000 0.500
Be2 Be 0.500 0.500 0.000
Cd1 Cd 0.000 0.500 0.212
Cd2 Cd 0.000 0.500 0.788
Cd3 Cd 0.500 0.000 0.288
Cd4 Cd 0.500 0.000 0.712

***

Entry 2:
# LaSeCl2 (SCAN, single point on PBEsol structure)
# - ρ (g/cm³) = 4.75
# - uncorrected formation energy (eV/f.u.) = -6.83
# - excess energy over the best structure of this formula in the dataset (eV per atom) = 0.0211
data_LaSeCl2
_cell_length_a 6.385
_cell_length_b 6.379
_cell_length_c 5.507
_cell_angle_alpha 90.00
_cell_angle_beta 115.88
_cell_angle_gamma 90.00
_space_group_name_H-M_alt 'P 1'
_space_group_IT_number 1
_space_group_name_Hall 'P 1'
loop_
_atom_site_label
_atom_site_type_symbol
_atom_site_fract_x
_atom_site_fract_y
_atom_site_fract_z
La1 La 0.000 0.000 0.000
La2 La 0.500 0.500 0.000
Se1 Se 0.000 0.500 0.000
Se2 Se 0.500 0.000 0.000
Cl1 Cl 0.000 0.000 0.500
Cl2 Cl 0.000 0.500 0.500
Cl3 Cl 0.500 0.000 0.500
Cl4 Cl 0.500 0.500 0.500

***

Entry 3:
# MoAs3F (SCAN, single point on PBEsol structure)
# - ρ (g/cm³) = 5.24
# - uncorrected formation energy (eV/f.u.) = 0.45
data_MoAs3F
_cell_length_a 4.757
_cell_length_b 4.757
_cell_length_c 4.757
_cell_angle_alpha 90.00
_cell_angle_beta 90.00
_cell_angle_gamma 90.00
_space_group_name_H-M_alt 'P 1'
_space_group_IT_number 1
_space_group_name_Hall 'P 1'
loop_
_atom_site_label
_atom_site_type_symbol
_atom_site_fract_x
_atom_site_fract_y
_atom_site_fract_z
Mo1 Mo 0.000 0.000 0.000
As1 As 0.000 0.000 0.500
As2 As 0.000 0.500 0.000
As3 As 0.500 0.000 0.000
F1 F 0.500 0.500 0.500

***

Entry 4:
# LaAs2Pb (SCAN, single point on PBEsol structure)
# - ρ (g/cm³) = 5.72
# - excess energy over the best structure of this formula in the dataset (eV per atom) = 0.2353
# - ΔH_f (0 K) (eV per atom) = -0.49
data_LaAs2Pb
_cell_length_a 6.710
_cell_length_b 6.710
_cell_length_c 12.789
_cell_angle_alpha 90.00
_cell_angle_beta 90.00
_cell_angle_gamma 90.00
_space_group_name_H-M_alt 'P 1'
_space_group_IT_number 1
_space_group_name_Hall 'P 1'
loop_
_atom_site_label
_atom_site_type_symbol
_atom_site_fract_x
_atom_site_fract_y
_atom_site_fract_z
La1 La 0.000 0.000 0.000
La2 La 0.000 0.500 0.250
La3 La 0.500 0.000 0.750
La4 La 0.500 0.500 0.500
As1 As 0.236 0.250 0.625
As2 As 0.250 0.736 0.875
As3 As 0.250 0.764 0.375
As4 As 0.264 0.250 0.125
As5 As 0.736 0.750 0.125
As6 As 0.750 0.236 0.375
As7 As 0.750 0.264 0.875
As8 As 0.764 0.750 0.625
Pb1 Pb 0.000 0.000 0.500
Pb2 Pb 0.000 0.500 0.750
Pb3 Pb 0.500 0.000 0.250
Pb4 Pb 0.500 0.500 0.000

***

Entry 5:
# Li3Sb2P3O12 (SCAN, single point on PBEsol structure)
# - ρ (g/cm³) = 3.80
# - uncorrected formation energy (eV/f.u.) = -44.22
# - excess energy over the best structure of this formula in the dataset (eV per atom) = 0.0120
data_Li3Sb2P3O12
_cell_length_a 8.358
_cell_length_b 8.358
_cell_length_c 8.337
_cell_angle_alpha 111.98
_cell_angle_beta 111.98
_cell_angle_gamma 67.54
_space_group_name_H-M_alt 'P 1'
_space_group_IT_number 1
_space_group_name_Hall 'P 1'
loop_
_atom_site_label
_atom_site_type_symbol
_atom_site_fract_x
_atom_site_fract_y
_atom_site_fract_z
Li1 Li 0.000 0.000 0.000
Li2 Li 0.111 0.505 0.117
Li3 Li 0.367 0.143 0.264
Li4 Li 0.495 0.889 0.883
Li5 Li 0.728 0.272 0.500
Li6 Li 0.857 0.633 0.736
Sb1 Sb 0.019 0.786 0.590
Sb2 Sb 0.214 0.981 0.410
Sb3 Sb 0.521 0.296 0.091
Sb4 Sb 0.704 0.479 0.909
P1 P 0.108 0.223 0.842
P2 P 0.276 0.724 0.000
P3 P 0.445 0.555 0.500
P4 P 0.612 0.044 0.657
P5 P 0.777 0.892 0.158
P6 P 0.956 0.388 0.343
O1 O 0.038 0.084 0.846
O2 O 0.092 0.742 0.852
O3 O 0.134 0.231 0.350
O4 O 0.167 0.181 0.676
O5 O 0.258 0.908 0.148
O6 O 0.266 0.251 0.021
O7 O 0.287 0.569 0.557
O8 O 0.299 0.571 0.073
O9 O 0.429 0.701 0.927
O10 O 0.431 0.713 0.443
O11 O 0.456 0.034 0.478
O12 O 0.472 0.370 0.346
O13 O 0.543 0.067 0.813
O14 O 0.587 0.040 0.142
O15 O 0.630 0.528 0.654
O16 O 0.678 0.200 0.674
O17 O 0.749 0.734 0.979
O18 O 0.769 0.866 0.650
O19 O 0.800 0.322 0.326
O20 O 0.819 0.833 0.324
O21 O 0.916 0.962 0.154
O22 O 0.933 0.457 0.187
O23 O 0.960 0.413 0.858
O24 O 0.966 0.544 0.522

***

Entry 6:
# MgFeSe2N (SCAN, single point on PBEsol structure)
# - ρ (g/cm³) = 4.38
# - uncorrected formation energy (eV/f.u.) = 3.83
data_MgFeSe2N
_cell_length_a 5.007
_cell_length_b 5.007
_cell_length_c 3.814
_cell_angle_alpha 90.00
_cell_angle_beta 90.00
_cell_angle_gamma 90.00
_space_group_name_H-M_alt 'P 1'
_space_group_IT_number 1
_space_group_name_Hall 'P 1'
loop_
_atom_site_label
_atom_site_type_symbol
_atom_site_fract_x
_atom_site_fract_y
_atom_site_fract_z
Mg1 Mg 0.000 0.000 0.000
Fe1 Fe 0.500 0.500 0.500
Se1 Se 0.000 0.500 0.000
Se2 Se 0.500 0.000 0.000
N1 N 0.000 0.000 0.500

***

Entry 7:
# Li5Y (SCAN, single point on PBEsol structure)
# - ρ (g/cm³) = 1.59
# - excess energy over the best structure of this formula in the dataset (eV per atom) = 0.0000
# - ΔH_f (0 K) (eV per atom) = 0.07
data_Li5Y
_cell_length_a 3.508
_cell_length_b 3.508
_cell_length_c 10.480
_cell_angle_alpha 90.00
_cell_angle_beta 90.00
_cell_angle_gamma 90.00
_space_group_name_H-M_alt 'P 1'
_space_group_IT_number 1
_space_group_name_Hall 'P 1'
loop_
_atom_site_label
_atom_site_type_symbol
_atom_site_fract_x
_atom_site_fract_y
_atom_site_fract_z
Li1 Li 0.000 0.000 0.000
Li2 Li 0.000 0.000 0.299
Li3 Li 0.000 0.000 0.701
Li4 Li 0.500 0.500 0.160
Li5 Li 0.500 0.500 0.840
Y1 Y 0.500 0.500 0.500

***

Entry 8:
# CoHg2Os (SCAN, single point on PBEsol structure)
# - ρ (g/cm³) = 16.93
# - excess energy over the best structure of this formula in the dataset (eV per atom) = 0.2759
# - ΔH_f (0 K) (eV per atom) = 1.00
data_CoHg2Os
_cell_length_a 6.343
_cell_length_b 6.343
_cell_length_c 6.343
_cell_angle_alpha 90.00
_cell_angle_beta 90.00
_cell_angle_gamma 90.00
_space_group_name_H-M_alt 'P 1'
_space_group_IT_number 1
_space_group_name_Hall 'P 1'
loop_
_atom_site_label
_atom_site_type_symbol
_atom_site_fract_x
_atom_site_fract_y
_atom_site_fract_z
Co1 Co 0.000 0.000 0.000
Co2 Co 0.000 0.500 0.500
Co3 Co 0.500 0.000 0.500
Co4 Co 0.500 0.500 0.000
Hg1 Hg 0.250 0.250 0.250
Hg2 Hg 0.250 0.250 0.750
Hg3 Hg 0.250 0.750 0.250
Hg4 Hg 0.250 0.750 0.750
Hg5 Hg 0.750 0.250 0.250
Hg6 Hg 0.750 0.250 0.750
Hg7 Hg 0.750 0.750 0.250
Hg8 Hg 0.750 0.750 0.750
Os1 Os 0.000 0.000 0.500
Os2 Os 0.000 0.500 0.000
Os3 Os 0.500 0.000 0.000
Os4 Os 0.500 0.500 0.500

***

Entry 9:
# NaLiGe2 (SCAN, single point on PBEsol structure)
# - ρ (g/cm³) = 4.04
# - ΔH_f (0 K) (eV per atom) = 0.00
data_NaLiGe2
_cell_length_a 6.605
_cell_length_b 6.605
_cell_length_c 6.605
_cell_angle_alpha 90.00
_cell_angle_beta 90.00
_cell_angle_gamma 90.00
_space_group_name_H-M_alt 'P 1'
_space_group_IT_number 1
_space_group_name_Hall 'P 1'
loop_
_atom_site_label
_atom_site_type_symbol
_atom_site_fract_x
_atom_site_fract_y
_atom_site_fract_z
Na1 Na 0.000 0.000 0.000
Na2 Na 0.000 0.500 0.500
Na3 Na 0.500 0.000 0.500
Na4 Na 0.500 0.500 0.000
Li1 Li 0.000 0.000 0.500
Li2 Li 0.000 0.500 0.000
Li3 Li 0.500 0.000 0.000
Li4 Li 0.500 0.500 0.500
Ge1 Ge 0.250 0.250 0.250
Ge2 Ge 0.250 0.250 0.750
Ge3 Ge 0.250 0.750 0.250
Ge4 Ge 0.250 0.750 0.750
Ge5 Ge 0.750 0.250 0.250
Ge6 Ge 0.750 0.250 0.750
Ge7 Ge 0.750 0.750 0.250
Ge8 Ge 0.750 0.750 0.750

***

Entry 10:
# MgTaSb3 (SCAN, single point on PBEsol structure)
# - ρ (g/cm³) = 6.97
# - uncorrected formation energy (eV/f.u.) = 6.79
data_MgTaSb3
_cell_length_a 5.142
_cell_length_b 5.142
_cell_length_c 5.142
_cell_angle_alpha 90.00
_cell_angle_beta 90.00
_cell_angle_gamma 90.00
_space_group_name_H-M_alt 'P 1'
_space_group_IT_number 1
_space_group_name_Hall 'P 1'
loop_
_atom_site_label
_atom_site_type_symbol
_atom_site_fract_x
_atom_site_fract_y
_atom_site_fract_z
Mg1 Mg 0.000 0.000 0.000
Ta1 Ta 0.500 0.500 0.500
Sb1 Sb 0.000 0.000 0.500
Sb2 Sb 0.000 0.500 0.000
Sb3 Sb 0.500 0.000 0.000

***

Entry 11:
# LiY2Zn (SCAN, single point on PBEsol structure)
# - ρ (g/cm³) = 4.57
# - ΔH_f (0 K) (eV per atom) = -0.11
data_LiY2Zn
_cell_length_a 3.482
_cell_length_b 5.000
_cell_length_c 10.444
_cell_angle_alpha 90.00
_cell_angle_beta 90.00
_cell_angle_gamma 90.00
_space_group_name_H-M_alt 'P 1'
_space_group_IT_number 1
_space_group_name_Hall 'P 1'
loop_
_atom_site_label
_atom_site_type_symbol
_atom_site_fract_x
_atom_site_fract_y
_atom_site_fract_z
Li1 Li 0.000 0.000 0.000
Li2 Li 0.500 0.500 0.500
Y1 Y 0.000 0.000 0.571
Y2 Y 0.000 0.500 0.785
Y3 Y 0.500 0.000 0.285
Y4 Y 0.500 0.500 0.071
Zn1 Zn 0.000 0.500 0.316
Zn2 Zn 0.500 0.000 0.816

***

Entry 12:
# CuSi2MoPb (SCAN, single point on PBEsol structure)
# - ρ (g/cm³) = 6.65
# - uncorrected formation energy (eV/f.u.) = 3.68
data_CuSi2MoPb
_cell_length_a 4.679
_cell_length_b 4.679
_cell_length_c 4.825
_cell_angle_alpha 90.00
_cell_angle_beta 90.00
_cell_angle_gamma 90.00
_space_group_name_H-M_alt 'P 1'
_space_group_IT_number 1
_space_group_name_Hall 'P 1'
loop_
_atom_site_label
_atom_site_type_symbol
_atom_site_fract_x
_atom_site_fract_y
_atom_site_fract_z
Cu1 Cu 0.000 0.000 0.000
Si1 Si 0.000 0.500 0.500
Si2 Si 0.500 0.000 0.500
Mo1 Mo 0.000 0.000 0.500
Pb1 Pb 0.500 0.500 0.000

***

Which of these has the highest ρ?
CoHg2Os

***

Among the records above, which one has the lowest ρ?
Li5Y

***

What is the formula in the third record?
MoAs3F